Entry from Alexandria via LeMat-Bulk: an optimized crystal structure of LaMnW2 (PBE).

```
LaMnW2
1.0
3.213 0.000 0.000
0.000 3.213 0.000
0.000 0.000 7.645
La Mn W
1 1 2
direct
0.000 0.000 0.000 La
0.500 0.500 0.322 Mn
0.000 0.000 0.510 W
0.500 0.500 0.696 W
```

Properties
space group: No. 99
polymorph energy (0 for the lowest one): 0.00 kcal/mol of atoms
ΔE_f: 0.402 eV/atom